Entry from Alexandria via LeMat-Bulk: KMoO3 after structural relaxation (PBE+U).

Output
Theoretical density in g/cm3: 3.26
DOS(E_F) in states/eV/f.u.: 0.000
VASP energy in eV per atom: -6.332

Cell and atoms, written as CIF:
```
data_KMoO3
_chemical_formula_sum 'K2 Mo2 O6'
_cell_length_a 5.3032
_cell_length_b 6.0981
_cell_length_c 6.3738
_cell_angle_alpha 112.58
_cell_angle_beta 100.25
_cell_angle_gamma 91.71
_space_group_name_H-M_alt 'P -1'
_space_group_IT_number 2
_space_group_name_Hall '-P 1'
loop_
_atom_site_label
_atom_site_type_symbol
_atom_site_fract_x
_atom_site_fract_y
_atom_site_fract_z
K1 K 0.2384 0.3421 0.1796
Mo1 Mo 0.2366 0.9770 0.5742
O1 O 0.0122 0.2445 0.6966
O2 O 0.2487 0.8814 0.8041
O3 O 0.4764 0.2191 0.5647
```